First-principles (GGA-PBE) data for BeCo2Br2 after structural relaxation, as listed in Alexandria.

Uncorrected formation energy (eV per atom): 0.71
Space-group type: I4/mmm
Distance to the lowest polymorph of the same formula (meV per atom): 0
Spin magnetization (μB per formula unit): 3.95
Total energy (eV per atom): -3.542

Structure (CIF):
```
data_BeCo2Br2
_chemical_formula_sum 'Be1 Co2 Br2'
_space_group_name_H-M_alt 'P 1'
_space_group_IT_number 1
_cell_length_a 10.626
_cell_length_b 10.626
_cell_length_c 10.626
_cell_angle_alpha 162.56
_cell_angle_beta 162.56
_cell_angle_gamma 24.76
loop_
_space_group_symop_operation_xyz
'x,y,z'
loop_
_atom_site_label
_atom_site_type_symbol
_atom_site_fract_x
_atom_site_fract_y
_atom_site_fract_z
Be1 Be 0.000 0.000 0.000
Co1 Co 0.250 0.750 0.500
Co2 Co 0.750 0.250 0.500
Br1 Br 0.426 0.426 0.000
Br2 Br 0.574 0.574 0.000
```